Compound: Re3TePt
Source: Alexandria via LeMat-Bulk
Functional: PBE
Structure: relaxed

The structure in POSCAR format:
```
Re3TePt
1.0
4.793 0.000 0.000
0.000 4.793 0.000
0.000 0.000 4.793
Re Te Pt
3 1 1
Cartesian
0.000 0.000 2.397
0.000 2.397 0.000
2.397 0.000 0.000
2.397 2.397 2.397
0.000 0.000 0.000
```

Summary:
Raw formation energy (eV/f.u.): 11.7
DFT total energy (eV/cell): -34.8